# PuPt3 (meta-GGA SCAN, single point on PBEsol structure)
# Calculated formation energy, eV per atom: -0.589
# Total energy, eV per atom: -80.769
# Symmetry: No. 194
# M_tot, Bohr magnetons per cell: 8.547
# Density, Mg/m³: 20.2
data_PuPt3
_chemical_formula_sum 'Pu2 Pt6'
_cell_length_a 4.7219
_cell_length_b 5.7808
_cell_length_c 5.7808
_cell_angle_alpha 120.00
_cell_angle_beta 90.00
_cell_angle_gamma 90.00
_space_group_name_H-M_alt 'P 1'
_space_group_IT_number 1
loop_
_space_group_symop_operation_xyz
'x,y,z'
loop_
_atom_site_label
_atom_site_type_symbol
_atom_site_fract_x
_atom_site_fract_y
_atom_site_fract_z
_atom_site_occupancy
Pu1 Pu 0.2500 0.6667 0.3333 1
Pu2 Pu 0.7500 0.3333 0.6667 1
Pt1 Pt 0.2500 0.1614 0.3229 1
Pt2 Pt 0.2500 0.1614 0.8386 1
Pt3 Pt 0.7500 0.8386 0.6771 1
Pt4 Pt 0.7500 0.3229 0.1614 1
Pt5 Pt 0.2500 0.6771 0.8386 1
Pt6 Pt 0.7500 0.8386 0.1614 1

# ReB3P (meta-GGA SCAN, single point on PBEsol structure)
# Calculated formation energy, eV per atom: 1.654
# Total energy, eV per atom: -19.103
# Symmetry: No. 221
# M_tot, Bohr magnetons per cell: 0.000
# Density, Mg/m³: 6.0
data_ReB3P
_chemical_formula_sum 'Re1 B3 P1'
_cell_length_a 4.1062
_cell_length_b 4.1062
_cell_length_c 4.1062
_cell_angle_alpha 90.00
_cell_angle_beta 90.00
_cell_angle_gamma 90.00
_space_group_name_H-M_alt 'P 1'
_space_group_IT_number 1
loop_
_space_group_symop_operation_xyz
'x,y,z'
loop_
_atom_site_label
_atom_site_type_symbol
_atom_site_fract_x
_atom_site_fract_y
_atom_site_fract_z
_atom_site_occupancy
B1 B 0.0000 0.0000 0.5000 1
B2 B 0.5000 0.0000 0.0000 1
B3 B 0.0000 0.5000 0.0000 1
P1 P 0.5000 0.5000 0.5000 1
Re1 Re 0.0000 0.0000 0.0000 1

# CdAg2Te (meta-GGA SCAN, single point on PBEsol structure)
# Total energy, eV per atom: -32.482
# Excess energy over the best structure of this formula in the dataset, meV/atom: 117
# Formation energy from raw total energies, eV per formula unit: 0.5
# Symmetry: No. 123
# M_tot, Bohr magnetons per cell: 0.000
# Density, Mg/m³: 9.2
data_CdAg2Te
_chemical_formula_sum 'Cd1 Ag2 Te1'
_cell_length_a 3.0762
_cell_length_b 3.0762
_cell_length_c 8.6812
_cell_angle_alpha 90.00
_cell_angle_beta 90.00
_cell_angle_gamma 90.00
_space_group_name_H-M_alt 'P 1'
_space_group_IT_number 1
loop_
_space_group_symop_operation_xyz
'x,y,z'
loop_
_atom_site_label
_atom_site_type_symbol
_atom_site_fract_x
_atom_site_fract_y
_atom_site_fract_z
_atom_site_occupancy
Te1 Te 0.5000 0.5000 0.5000 1
Ag1 Ag 0.0000 0.0000 0.2232 1
Ag2 Ag 0.0000 0.0000 0.7768 1
Cd1 Cd 0.5000 0.5000 0.0000 1

# MnHg2Ir (meta-GGA SCAN, single point on PBEsol structure)
# Calculated formation energy, eV per atom: 0.068
# Total energy, eV per atom: -56.353
# Excess energy over the best structure of this formula in the dataset, meV/atom: 0
# Symmetry: No. 99
# M_tot, Bohr magnetons per cell: 3.846
# Density, Mg/m³: 15.8
data_MnHg2Ir
_chemical_formula_sum 'Mn1 Hg2 Ir1'
_cell_length_a 2.9415
_cell_length_b 2.9415
_cell_length_c 7.8813
_cell_angle_alpha 90.00
_cell_angle_beta 90.00
_cell_angle_gamma 90.00
_space_group_name_H-M_alt 'P 1'
_space_group_IT_number 1
loop_
_space_group_symop_operation_xyz
'x,y,z'
loop_
_atom_site_label
_atom_site_type_symbol
_atom_site_fract_x
_atom_site_fract_y
_atom_site_fract_z
_atom_site_occupancy
Ir1 Ir 0.0000 0.0000 0.5380 1
Hg1 Hg 0.5000 0.5000 0.2763 1
Hg2 Hg 0.0000 0.0000 0.9677 1
Mn1 Mn 0.5000 0.5000 0.7180 1

# Ca2CuBSb (meta-GGA SCAN, single point on PBEsol structure)
# Total energy, eV per atom: -16.046
# Formation energy from raw total energies, eV per formula unit: -1.0
# Symmetry: No. 123
# M_tot, Bohr magnetons per cell: 0.000
# Density, Mg/m³: 4.3
data_Ca2CuBSb
_chemical_formula_sum 'Ca2 Cu1 B1 Sb1'
_cell_length_a 3.8465
_cell_length_b 5.2952
_cell_length_c 5.2952
_cell_angle_alpha 90.00
_cell_angle_beta 90.00
_cell_angle_gamma 90.00
_space_group_name_H-M_alt 'P 1'
_space_group_IT_number 1
loop_
_space_group_symop_operation_xyz
'x,y,z'
loop_
_atom_site_label
_atom_site_type_symbol
_atom_site_fract_x
_atom_site_fract_y
_atom_site_fract_z
_atom_site_occupancy
Sb1 Sb 0.5000 0.5000 0.5000 1
B1 B 0.0000 0.0000 0.0000 1
Ca1 Ca 0.0000 0.5000 0.0000 1
Ca2 Ca 0.0000 0.0000 0.5000 1
Cu1 Cu 0.5000 0.0000 0.0000 1

# YBe3Nb (meta-GGA SCAN, single point on PBEsol structure)
# Calculated formation energy, eV per atom: 1.904
# Total energy, eV per atom: -12.902
# Symmetry: No. 221
# M_tot, Bohr magnetons per cell: 1.771
# Density, Mg/m³: 4.1
data_YBe3Nb
_chemical_formula_sum 'Y1 Be3 Nb1'
_cell_length_a 4.3771
_cell_length_b 4.3771
_cell_length_c 4.3771
_cell_angle_alpha 90.00
_cell_angle_beta 90.00
_cell_angle_gamma 90.00
_space_group_name_H-M_alt 'P 1'
_space_group_IT_number 1
loop_
_space_group_symop_operation_xyz
'x,y,z'
loop_
_atom_site_label
_atom_site_type_symbol
_atom_site_fract_x
_atom_site_fract_y
_atom_site_fract_z
_atom_site_occupancy
Be1 Be 0.0000 0.5000 0.0000 1
Be2 Be 0.0000 0.0000 0.5000 1
Be3 Be 0.5000 0.0000 0.0000 1
Nb1 Nb 0.5000 0.5000 0.5000 1
Y1 Y 0.0000 0.0000 0.0000 1

# Ni2Pt (meta-GGA SCAN, single point on PBEsol structure)
# Calculated formation energy, eV per atom: -0.040
# Total energy, eV per atom: -34.220
# Symmetry: No. 164
# M_tot, Bohr magnetons per cell: 1.854
# Density, Mg/m³: 14.1
data_Ni2Pt
_chemical_formula_sum 'Ni2 Pt1'
_cell_length_a 2.6219
_cell_length_b 2.6219
_cell_length_c 6.1712
_cell_angle_alpha 90.00
_cell_angle_beta 90.00
_cell_angle_gamma 120.00
_space_group_name_H-M_alt 'P 1'
_space_group_IT_number 1
loop_
_space_group_symop_operation_xyz
'x,y,z'
loop_
_atom_site_label
_atom_site_type_symbol
_atom_site_fract_x
_atom_site_fract_y
_atom_site_fract_z
_atom_site_occupancy
Ni1 Ni 0.6667 0.3333 0.3475 1
Ni2 Ni 0.3333 0.6667 0.6525 1
Pt1 Pt 0.0000 0.0000 0.0000 1

# SrRe2Au (meta-GGA SCAN, single point on PBEsol structure)
# Calculated formation energy, eV per atom: 0.754
# Total energy, eV per atom: -57.653
# Excess energy over the best structure of this formula in the dataset, meV/atom: 0
# Symmetry: No. 44
# M_tot, Bohr magnetons per cell: 0.001
# Density, Mg/m³: 13.9
data_SrRe2Au
_chemical_formula_sum 'Sr1 Re2 Au1'
_cell_length_a 3.8081
_cell_length_b 4.8506
_cell_length_c 5.2430
_cell_angle_alpha 117.55
_cell_angle_beta 111.29
_cell_angle_gamma 90.00
_space_group_name_H-M_alt 'P 1'
_space_group_IT_number 1
loop_
_space_group_symop_operation_xyz
'x,y,z'
loop_
_atom_site_label
_atom_site_type_symbol
_atom_site_fract_x
_atom_site_fract_y
_atom_site_fract_z
_atom_site_occupancy
Au1 Au 0.2628 0.7628 0.5256 1
Re1 Re 0.7140 0.2140 0.4279 1
Re2 Re 0.0397 0.0397 0.0795 1
Sr1 Sr 0.4835 0.4835 0.9670 1

# Sr3Au (meta-GGA SCAN, single point on PBEsol structure)
# Calculated formation energy, eV per atom: -0.456
# Total energy, eV per atom: -34.451
# Symmetry: No. 44
# M_tot, Bohr magnetons per cell: 0.000
# Density, Mg/m³: 4.7
data_Sr3Au
_chemical_formula_sum 'Sr3 Au1'
_cell_length_a 4.1068
_cell_length_b 6.9435
_cell_length_c 6.9435
_cell_angle_alpha 61.37
_cell_angle_beta 72.80
_cell_angle_gamma 72.80
_space_group_name_H-M_alt 'P 1'
_space_group_IT_number 1
loop_
_space_group_symop_operation_xyz
'x,y,z'
loop_
_atom_site_label
_atom_site_type_symbol
_atom_site_fract_x
_atom_site_fract_y
_atom_site_fract_z
_atom_site_occupancy
Sr1 Sr 0.5000 0.3740 0.6260 1
Sr2 Sr 0.6808 0.6903 0.9481 1
Sr3 Sr 0.3192 0.0519 0.3097 1
Au1 Au 0.0000 0.0505 0.9495 1

# BeGa2RePd (meta-GGA SCAN, single point on PBEsol structure)
# Calculated formation energy, eV per atom: 0.767
# Total energy, eV per atom: -27.416
# Symmetry: No. 123
# M_tot, Bohr magnetons per cell: 1.135
# Density, Mg/m³: 10.3
data_BeGa2RePd
_chemical_formula_sum 'Be1 Ga2 Re1 Pd1'
_cell_length_a 3.9402
_cell_length_b 4.2466
_cell_length_c 4.2466
_cell_angle_alpha 90.00
_cell_angle_beta 90.00
_cell_angle_gamma 90.00
_space_group_name_H-M_alt 'P 1'
_space_group_IT_number 1
loop_
_space_group_symop_operation_xyz
'x,y,z'
loop_
_atom_site_label
_atom_site_type_symbol
_atom_site_fract_x
_atom_site_fract_y
_atom_site_fract_z
_atom_site_occupancy
Ga1 Ga 0.0000 0.5000 0.0000 1
Ga2 Ga 0.0000 0.0000 0.5000 1
Be1 Be 0.0000 0.0000 0.0000 1
Pd1 Pd 0.5000 0.0000 0.0000 1
Re1 Re 0.5000 0.5000 0.5000 1

# RhCO3 (meta-GGA SCAN, single point on PBEsol structure)
# Total energy, eV per atom: -11.391
# Formation energy from raw total energies, eV per formula unit: 5.6
# Symmetry: No. 221
# M_tot, Bohr magnetons per cell: 0.506
# Density, Mg/m³: 5.1
data_RhCO3
_chemical_formula_sum 'Rh1 C1 O3'
_cell_length_a 3.7542
_cell_length_b 3.7542
_cell_length_c 3.7542
_cell_angle_alpha 90.00
_cell_angle_beta 90.00
_cell_angle_gamma 90.00
_space_group_name_H-M_alt 'P 1'
_space_group_IT_number 1
loop_
_space_group_symop_operation_xyz
'x,y,z'
loop_
_atom_site_label
_atom_site_type_symbol
_atom_site_fract_x
_atom_site_fract_y
_atom_site_fract_z
_atom_site_occupancy
O1 O 0.0000 0.0000 0.5000 1
O2 O 0.0000 0.5000 0.0000 1
O3 O 0.5000 0.0000 0.0000 1
C1 C 0.5000 0.5000 0.5000 1
Rh1 Rh 0.0000 0.0000 0.0000 1

# Ca3Mn2Ge3O12 (meta-GGA SCAN, single point on PBEsol structure)
# Total energy, eV per atom: -12.353
# Formation energy from raw total energies, eV per formula unit: -49.5
# Symmetry: No. 88
# M_tot, Bohr magnetons per cell: 32.000
# Density, Mg/m³: 4.6
data_Ca3Mn2Ge3O12
_chemical_formula_sum 'Ca12 Mn8 Ge12 O48'
_cell_length_a 10.6499
_cell_length_b 10.6499
_cell_length_c 10.6499
_cell_angle_alpha 109.60
_cell_angle_beta 109.60
_cell_angle_gamma 109.21
_space_group_name_H-M_alt 'P 1'
_space_group_IT_number 1
loop_
_space_group_symop_operation_xyz
'x,y,z'
loop_
_atom_site_label
_atom_site_type_symbol
_atom_site_fract_x
_atom_site_fract_y
_atom_site_fract_z
_atom_site_occupancy
O1 O 0.2450 0.8950 0.4538 1
O2 O 0.3082 0.3618 0.8498 1
O3 O 0.0352 0.1539 0.5593 1
O4 O 0.5947 0.4760 0.4407 1
O5 O 0.1150 0.6851 0.1432 1
O6 O 0.0282 0.8850 0.5701 1
O7 O 0.7081 0.7782 0.6432 1
O8 O 0.2088 0.7550 0.6500 1
O9 O 0.4411 0.7912 0.5462 1
O10 O 0.9988 0.2648 0.3357 1
O11 O 0.9291 0.6631 0.6643 1
O12 O 0.9351 0.2919 0.0701 1
O13 O 0.5416 0.6918 0.0536 1
O14 O 0.3149 0.4581 0.4299 1
O15 O 0.4039 0.3447 0.6187 1
O16 O 0.8461 0.4053 0.8813 1
O17 O 0.3209 0.0869 0.8357 1
O18 O 0.2148 0.5961 0.9407 1
O19 O 0.5148 0.6791 0.7660 1
O20 O 0.9131 0.7488 0.2340 1
O21 O 0.0050 0.8550 0.0462 1
O22 O 0.5419 0.9718 0.8568 1
O23 O 0.7260 0.7852 0.3813 1
O24 O 0.8089 0.9588 0.9538 1
O25 O 0.0412 0.9950 0.8500 1
O26 O 0.8229 0.5496 0.3357 1
O27 O 0.4271 0.2004 0.1643 1
O28 O 0.3369 0.0012 0.2660 1
O29 O 0.5128 0.1771 0.7267 1
O30 O 0.2139 0.4872 0.6643 1
O31 O 0.4504 0.7861 0.2733 1
O32 O 0.1350 0.0649 0.3568 1
O33 O 0.7084 0.0582 0.4464 1
O34 O 0.2218 0.8650 0.9299 1
O35 O 0.6382 0.4880 0.9464 1
O36 O 0.5120 0.4584 0.1502 1
O37 O 0.7352 0.0709 0.7340 1
O38 O 0.6553 0.2740 0.0593 1
O39 O 0.9418 0.3882 0.6502 1
O40 O 0.1050 0.5589 0.3500 1
O41 O 0.2512 0.4852 0.1643 1
O42 O 0.7996 0.9639 0.2267 1
O43 O 0.7372 0.5729 0.7733 1
O44 O 0.5240 0.9648 0.1187 1
O45 O 0.7380 0.2916 0.3498 1
O46 O 0.6118 0.2620 0.5536 1
O47 O 0.0361 0.2628 0.8357 1
O48 O 0.1450 0.1911 0.1500 1
Ge1 Ge 0.5000 0.5000 0.0000 1
Ge2 Ge 0.2579 0.6364 0.1284 1
Ge3 Ge 0.7500 0.2500 0.5000 1
Ge4 Ge 0.7420 0.6204 0.6284 1
Ge5 Ge 0.5080 0.1296 0.8716 1
Ge6 Ge 0.2500 0.7500 0.5000 1
Ge7 Ge 0.8864 0.2580 0.8785 1
Ge8 Ge 0.8704 0.7421 0.3785 1
Ge9 Ge 0.9921 0.1136 0.3716 1
Ge10 Ge 0.0000 0.0000 0.0000 1
Ge11 Ge 0.3636 0.4920 0.6215 1
Ge12 Ge 0.3796 0.0079 0.1215 1
Ca1 Ca 0.2499 0.1224 0.6221 1
Ca2 Ca 0.0001 0.6276 0.8779 1
Ca3 Ca 0.5026 0.0026 0.5000 1
Ca4 Ca 0.2526 0.2526 0.0000 1
Ca5 Ca 0.8778 0.9999 0.6275 1
Ca6 Ca 0.9974 0.4974 0.5000 1
Ca7 Ca 0.7474 0.7474 0.0000 1
Ca8 Ca 0.3724 0.2503 0.3725 1
Ca9 Ca 0.8776 0.4997 0.1275 1
Ca10 Ca 0.3722 0.7501 0.8725 1
Ca11 Ca 0.5003 0.6278 0.3779 1
Ca12 Ca 0.7497 0.1222 0.1221 1
Mn1 Mn 0.1250 0.3750 0.7500 1
Mn2 Mn 0.6250 0.3750 0.7500 1
Mn3 Mn 0.1250 0.8750 0.7500 1
Mn4 Mn 0.6250 0.3750 0.2500 1
Mn5 Mn 0.6250 0.8750 0.2500 1
Mn6 Mn 0.6250 0.8750 0.7500 1
Mn7 Mn 0.1250 0.3750 0.2500 1
Mn8 Mn 0.1250 0.8750 0.2500 1

Q: Which value of M_tot does entry 12 give?
A: 32.000 Bohr magnetons per cell